12
Lattice="2.8069 1.6206 8.2397 -2.8069 1.6206 8.2397 0.0000 -3.2411 8.2397" Properties=species:S:1:pos:R:3 comment="Sr3BPd8 | OQMD | GGA-PBE | relaxed" e_tot_ev_per_atom=-4.851 pbc="T T T"
Sr 0.0000 0.0000 0.0000
Sr 0.0000 0.0000 3.4301
Sr 0.0000 0.0000 21.2891
B 0.0000 0.0000 12.3596
Pd -1.3650 -0.7881 10.5449
Pd 0.0000 0.0000 8.1653
Pd 0.0000 -1.5762 14.1743
Pd -1.3650 0.7881 14.1743
Pd 1.3650 -0.7881 10.5449
Pd 0.0000 1.5762 10.5449
Pd 0.0000 0.0000 16.5539
Pd 1.3650 0.7881 14.1743